Ce2IrSe | PBE | optimized geometry

Properties
**Spin magnetization**: 1.4 μB/cell
**Relative energy among the computed polymorphs**: 0.00 kJ per mole of atoms
**Density of states at the Fermi level**: 10.21 states/eV per cell

The structure in POSCAR format:
```
Ce2IrSe
1.0
-0.4133 -0.1117 -4.0299
-3.6222 -0.7734 -1.6448
-2.8239 6.7214 -1.9344
Ir Se Ce
1 1 2
direct
0.0000 0.0000 0.0000 Ir
0.5000 0.5000 0.5000 Se
0.2582 0.2582 0.2255 Ce
0.7418 0.7418 0.7745 Ce
```